# 1
This record from the Alexandria database describes a relaxed Tc2Pt2O crystal. The functional is PBE.

a b c (Å): 3.611 3.611 12.420
angles (deg): 90.00 90.00 90.00
Positions (direct):
Tc 0.000 0.000 0.091
Tc 0.000 0.000 0.909
Tc 0.500 0.500 0.409
Tc 0.500 0.500 0.591
Pt 0.000 0.500 0.250
Pt 0.000 0.500 0.750
Pt 0.500 0.000 0.250
Pt 0.500 0.000 0.750
O 0.000 0.000 0.500
O 0.500 0.500 0.000

magnetic moment	1.200	μB/f.u.
mass density	12.4	g/cm3
space group	I4/mmm
calculated volume	16.2	Å³/atom
formation energy from raw total energies	0.677	eV/atom
relative energy among the computed polymorphs	0.723	eV/atom

---

# 2
This record from the Alexandria database describes a relaxed TcPt2O2 crystal. The functional is PBE.

a b c (Å): 5.335 5.335 4.671
angles (deg): 90.00 90.00 90.00
Positions (direct):
Tc 0.000 0.000 0.000
Tc 0.500 0.500 0.000
Pt 0.187 0.313 0.500
Pt 0.313 0.813 0.500
Pt 0.687 0.187 0.500
Pt 0.813 0.687 0.500
O 0.193 0.307 0.000
O 0.307 0.807 0.000
O 0.693 0.193 0.000
O 0.807 0.693 0.000

magnetic moment	0.000	μB/f.u.
mass density	13.0	g/cm3
space group	P4/mbm
calculated volume	13.3	Å³/atom
formation energy from raw total energies	-0.268	eV/atom
relative energy among the computed polymorphs	0.000	eV/atom

---

# 3
This record from the Alexandria database describes a relaxed TcPt2O2 crystal. The functional is PBE.

a b c (Å): 4.655 4.655 6.355
angles (deg): 90.00 90.00 90.00
Positions (direct):
Tc 0.000 0.000 0.000
Tc 0.500 0.500 0.500
Pt 0.000 0.500 0.250
Pt 0.000 0.500 0.750
Pt 0.500 0.000 0.250
Pt 0.500 0.000 0.750
O 0.000 0.000 0.301
O 0.000 0.000 0.699
O 0.500 0.500 0.199
O 0.500 0.500 0.801

magnetic moment	1.353	μB/f.u.
mass density	12.5	g/cm3
space group	I4/mmm
calculated volume	13.8	Å³/atom
formation energy from raw total energies	0.268	eV/atom
relative energy among the computed polymorphs	0.535	eV/atom

---

# 4
This record from the Alexandria database describes a relaxed Tc5Pt3O12 crystal. The functional is PBE.

a b c (Å): 10.888 10.888 10.888
angles (deg): 109.47 109.47 109.47
Positions (direct):
Tc 0.000 0.000 0.000
Tc 0.000 0.000 0.500
Tc 0.000 0.500 0.000
Tc 0.000 0.500 0.500
Tc 0.125 0.750 0.875
Tc 0.125 0.875 0.250
Tc 0.250 0.125 0.875
Tc 0.250 0.625 0.375
Tc 0.375 0.250 0.625
Tc 0.375 0.625 0.750
Tc 0.500 0.000 0.000
Tc 0.500 0.000 0.500
Tc 0.500 0.500 0.000
Tc 0.500 0.500 0.500
Tc 0.625 0.375 0.250
Tc 0.625 0.750 0.375
Tc 0.750 0.375 0.625
Tc 0.750 0.875 0.125
Tc 0.875 0.125 0.750
Tc 0.875 0.250 0.125
Pt 0.125 0.250 0.375
Pt 0.125 0.375 0.750
Pt 0.250 0.375 0.125
Pt 0.250 0.875 0.625
Pt 0.375 0.125 0.250
Pt 0.375 0.750 0.125
Pt 0.625 0.250 0.875
Pt 0.625 0.875 0.750
Pt 0.750 0.125 0.375
Pt 0.750 0.625 0.875
Pt 0.875 0.625 0.250
Pt 0.875 0.750 0.625
O 0.020 0.204 0.096
O 0.020 0.317 0.925
O 0.075 0.596 0.392
O 0.075 0.980 0.683
O 0.096 0.020 0.204
O 0.096 0.575 0.892
O 0.108 0.704 0.683
O 0.108 0.904 0.425
O 0.183 0.204 0.608
O 0.183 0.480 0.575
O 0.204 0.096 0.020
O 0.204 0.608 0.183
O 0.296 0.317 0.892
O 0.296 0.480 0.404
O 0.317 0.892 0.296
O 0.317 0.925 0.020
O 0.392 0.075 0.596
O 0.392 0.817 0.796
O 0.404 0.296 0.480
O 0.404 0.608 0.925
O 0.425 0.108 0.904
O 0.425 0.817 0.520
O 0.480 0.404 0.296
O 0.480 0.575 0.183
O 0.520 0.425 0.817
O 0.520 0.596 0.704
O 0.575 0.183 0.480
O 0.575 0.892 0.096
O 0.596 0.392 0.075
O 0.596 0.704 0.520
O 0.608 0.183 0.204
O 0.608 0.925 0.404
O 0.683 0.075 0.980
O 0.683 0.108 0.704
O 0.704 0.520 0.596
O 0.704 0.683 0.108
O 0.796 0.392 0.817
O 0.796 0.904 0.980
O 0.817 0.520 0.425
O 0.817 0.796 0.392
O 0.892 0.096 0.575
O 0.892 0.296 0.317
O 0.904 0.425 0.108
O 0.904 0.980 0.796
O 0.925 0.020 0.317
O 0.925 0.404 0.608
O 0.980 0.683 0.075
O 0.980 0.796 0.904

magnetic moment	1.213	μB/f.u.
mass density	8.5	g/cm3
space group	Ia-3d
calculated volume	12.4	Å³/atom
formation energy from raw total energies	-0.436	eV/atom